## Ce4Ga3Ge (PBE-GGA)

Data for a relaxed structure of Ce4Ga3Ge.

Computed properties:
DOS at the Fermi energy ... 19.60 states/eV/cell
E_form ... -0.538 eV per atom
Space-group type ... Pmm2 (25)

Cell lengths 4.098, 4.392, 11.184 Å; angles 90.00, 90.00, 90.00 degrees
Fractional positions:
Ce (0.000, 0.000, 0.000)
Ce (0.000, 0.500, 0.499)
Ce (0.500, 0.000, 0.712)
Ce (0.500, 0.500, 0.212)
Ga (0.000, 0.000, 0.284)
Ga (0.500, 0.000, 0.428)
Ga (0.500, 0.500, 0.928)
Ge (0.000, 0.500, 0.781)

=====

## CeGa2Ge (PBE-GGA)

Data for a relaxed structure of CeGa2Ge.

Computed properties:
DOS at the Fermi energy ... 5.33 states/eV/cell
E_form ... -0.330 eV per atom
Space-group type ... Cmmm (65)
Excess energy over the best structure of this formula in the dataset ... 203 meV per atom

Cell lengths 4.409, 4.409, 4.689 Å; angles 90.00, 90.00, 95.90 degrees
Fractional positions:
Ce (0.000, 0.000, 0.000)
Ga (0.294, 0.706, 0.500)
Ga (0.706, 0.294, 0.500)
Ge (0.500, 0.500, 0.000)